Entry 1:
# HAu2I

A geometry-optimized HAu2I structure (PBE, the Alexandria database).

Cell and atoms, written as CIF:
```
data_HAu2I
_chemical_formula_sum 'H4 Au8 I4'
_cell_length_a 5.3793
_cell_length_b 5.3793
_cell_length_c 11.1957
_cell_angle_alpha 90.00
_cell_angle_beta 90.00
_cell_angle_gamma 90.00
_symmetry_space_group_name_H-M 'I -4 2 d'
_symmetry_Int_Tables_number 122
_symmetry_space_group_name_Hall 'I -4 2bw'
loop_
_atom_site_label
_atom_site_fract_x
_atom_site_fract_y
_atom_site_fract_z
H1 0.0000 0.0000 0.0000
Au1 0.0850 0.2500 0.1250
I1 0.0000 0.0000 0.5000
```

Total magnetization = 0.000 μB per formula unit
Fermi-level density of states = 0.00 states/eV/f.u.
Uncorrected energy = -2.586 eV per atom

***

Entry 2:
# HAu2I5

A geometry-optimized HAu2I5 structure (PBE, the Alexandria database).

Cell and atoms, written as CIF:
```
data_HAu2I5
_chemical_formula_sum 'H2 Au4 I10'
_cell_length_a 16.1541
_cell_length_b 8.2294
_cell_length_c 7.1794
_cell_angle_alpha 90.00
_cell_angle_beta 114.67
_cell_angle_gamma 90.00
_symmetry_space_group_name_H-M 'C 1 m 1'
_symmetry_Int_Tables_number 8
loop_
_symmetry_equiv_pos_as_xyz
'x,y,z'
'x,-y,z'
'x+1/2,y+1/2,z'
'x+1/2,-y+1/2,z'
loop_
_atom_site_label
_atom_site_fract_x
_atom_site_fract_y
_atom_site_fract_z
H1 0.0000 0.0000 0.0000
Au1 0.3453 0.0000 0.8559
Au2 0.3458 0.5000 0.3587
I1 0.0970 0.0000 0.9795
I2 0.3398 0.2130 0.5497
I3 0.3427 0.2856 0.0539
```

Total magnetization = 0.000 μB per formula unit
Fermi-level density of states = 1.98 states/eV/f.u.
Uncorrected energy = -2.121 eV per atom

***

Entry 3:
# H6AuI12

A geometry-optimized H6AuI12 structure (PBE, the Alexandria database).

Cell and atoms, written as CIF:
```
data_H6AuI12
_chemical_formula_sum 'H18 Au3 I36'
_cell_length_a 18.5210
_cell_length_b 18.5210
_cell_length_c 6.7498
_cell_angle_alpha 90.00
_cell_angle_beta 90.00
_cell_angle_gamma 120.00
_symmetry_space_group_name_H-M 'R -3'
_symmetry_Int_Tables_number 148
_symmetry_space_group_name_Hall '-R 3'
loop_
_atom_site_label
_atom_site_fract_x
_atom_site_fract_y
_atom_site_fract_z
H1 0.0997 0.2092 0.1905
Au1 0.0000 0.0000 0.5000
I1 0.0271 0.1397 0.7194
I2 0.0540 0.4632 0.7572
```

Total magnetization = 0.000 μB per formula unit
Fermi-level density of states = 6.33 states/eV/f.u.
Uncorrected energy = -2.137 eV per atom

***

Entry 4:
# H2AuI

A geometry-optimized H2AuI structure (PBE, the Alexandria database).

Cell and atoms, written as CIF:
```
data_H2AuI
_chemical_formula_sum 'H8 Au4 I4'
_cell_length_a 6.0829
_cell_length_b 6.0829
_cell_length_c 6.0829
_cell_angle_alpha 90.00
_cell_angle_beta 90.00
_cell_angle_gamma 90.00
_symmetry_space_group_name_H-M 'F m -3 m'
_symmetry_Int_Tables_number 225
_symmetry_space_group_name_Hall '-F 4 2 3'
loop_
_atom_site_label
_atom_site_fract_x
_atom_site_fract_y
_atom_site_fract_z
H1 0.2500 0.2500 0.2500
Au1 0.0000 0.0000 0.0000
I1 0.0000 0.0000 0.5000
```

Total magnetization = 0.000 μB per formula unit
Fermi-level density of states = 1.90 states/eV/f.u.
Uncorrected energy = -1.739 eV per atom